VASP calculation (PBE-GGA) on a geometry-optimized Mg2TaPb structure.

Summary:
N(E_F) = 2.74 states/eV per cell
formation energy = 0.26 eV per atom
DFT total energy = -4.43 eV per atom

a b c (Å): 10.456 10.456 10.456
angles (deg): 17.46 17.46 17.46
Sites, in units of the cell vectors:
Mg1 0.006 0.006 0.006
Mg2 0.494 0.494 0.494
Pb1 0.250 0.250 0.250
Ta1 0.750 0.750 0.750